(1)
# LaDyYTm | Alexandria | PBE | optimized geometry
data_LaDyYTm
_chemical_formula_sum 'La4 Dy4 Y4 Tm4'
_cell_length_a 8.0998
_cell_length_b 8.0998
_cell_length_c 8.0998
_cell_angle_alpha 90.00
_cell_angle_beta 90.00
_cell_angle_gamma 90.00
_space_group_name_H-M_alt 'F -4 3 m'
_space_group_IT_number 216
_space_group_name_Hall 'F -4 2 3'
loop_
_atom_site_label
_atom_site_type_symbol
_atom_site_fract_x
_atom_site_fract_y
_atom_site_fract_z
La1 La 0.0000 0.0000 0.0000
Dy1 Dy 0.0000 0.0000 0.5000
Y1 Y 0.2500 0.2500 0.7500
Tm1 Tm 0.2500 0.2500 0.2500
# Energy = -80.2 eV for the cell shown
# Calculated density = 6.99 g cm⁻³
# E_form = 10.1 kJ/mol of atoms

(2)
# LaSn | Alexandria | PBE | optimized geometry
data_LaSn
_chemical_formula_sum 'La4 Sn4'
_cell_length_a 4.8340
_cell_length_b 11.9770
_cell_length_c 4.4447
_cell_angle_alpha 90.00
_cell_angle_beta 90.00
_cell_angle_gamma 90.00
_space_group_name_H-M_alt 'C m c m'
_space_group_IT_number 63
_space_group_name_Hall '-C 2c 2'
loop_
_atom_site_label
_atom_site_type_symbol
_atom_site_fract_x
_atom_site_fract_y
_atom_site_fract_z
La1 La 0.0000 0.1357 0.2500
Sn1 Sn 0.0000 0.4129 0.2500
# Energy = -42.2 eV for the cell shown
# Calculated density = 6.65 g cm⁻³
# E_form = -78.2 kJ/mol of atoms

(3)
# LiPmY2Au4 | Alexandria | PBE | optimized geometry
data_LiPmY2Au4
_chemical_formula_sum 'Li3 Pm3 Y6 Au12'
_cell_length_a 5.0198
_cell_length_b 5.0198
_cell_length_c 24.8673
_cell_angle_alpha 90.00
_cell_angle_beta 90.00
_cell_angle_gamma 120.00
_space_group_name_H-M_alt 'R -3 m'
_space_group_IT_number 166
_space_group_name_Hall '-R 3 2"'
loop_
_atom_site_label
_atom_site_type_symbol
_atom_site_fract_x
_atom_site_fract_y
_atom_site_fract_z
Li1 Li 0.0000 0.0000 0.0000
Pm1 Pm 0.0000 0.0000 0.5000
Y1 Y 0.0000 0.0000 0.2587
Au1 Au 0.0000 0.0000 0.1168
Au2 Au 0.0000 0.0000 0.3785
# Energy = -116.2 eV for the cell shown
# Calculated density = 10.26 g cm⁻³
# E_form = -72.6 kJ/mol of atoms

(4)
# La3Er8Tm4 | Alexandria | PBE | optimized geometry
data_La3Er8Tm4
_chemical_formula_sum 'La6 Er16 Tm8'
_cell_length_a 13.3440
_cell_length_b 12.8375
_cell_length_c 6.7144
_cell_angle_alpha 90.00
_cell_angle_beta 120.20
_cell_angle_gamma 90.00
_space_group_name_H-M_alt 'C 1 2/m 1'
_space_group_IT_number 12
loop_
_space_group_symop_operation_xyz
'x,y,z'
'-x,-y,-z'
'-x,y,-z'
'x,-y,z'
'x+1/2,y+1/2,z'
'-x+1/2,-y+1/2,-z'
'-x+1/2,y+1/2,-z'
'x+1/2,-y+1/2,z'
loop_
_atom_site_label
_atom_site_type_symbol
_atom_site_fract_x
_atom_site_fract_y
_atom_site_fract_z
La1 La 0.0000 0.0000 0.0000
La2 La 0.2500 0.2500 0.0000
Er1 Er 0.0000 0.1391 0.5000
Er2 Er 0.0000 0.2486 0.0000
Er3 Er 0.2362 0.0000 0.9728
Er4 Er 0.2401 0.0000 0.5001
Tm1 Tm 0.0000 0.5000 0.0000
Tm2 Tm 0.0000 0.5000 0.5000
Tm3 Tm 0.2500 0.2500 0.5000
# Energy = -126.2 eV for the cell shown
# Calculated density = 8.12 g cm⁻³
# E_form = 39.0 kJ/mol of atoms

(5)
# Hg3SbO | Alexandria | PBE | optimized geometry
data_Hg3SbO
_chemical_formula_sum 'Hg3 Sb1 O1'
_cell_length_a 4.8548
_cell_length_b 4.8548
_cell_length_c 4.8548
_cell_angle_alpha 90.00
_cell_angle_beta 90.00
_cell_angle_gamma 90.00
_space_group_name_H-M_alt 'P m -3 m'
_space_group_IT_number 221
_space_group_name_Hall '-P 4 2 3'
loop_
_atom_site_label
_atom_site_type_symbol
_atom_site_fract_x
_atom_site_fract_y
_atom_site_fract_z
Hg1 Hg 0.0000 0.0000 0.5000
Sb1 Sb 0.5000 0.5000 0.5000
O1 O 0.0000 0.0000 0.0000
# Energy = -8.7 eV for the cell shown
# Calculated density = 10.73 g cm⁻³
# ΔE_f (raw) = 0.2642 eV/atom

(6)
# Fe4MoAu | Alexandria | PBE | optimized geometry
data_Fe4MoAu
_chemical_formula_sum 'Fe16 Mo4 Au4'
_cell_length_a 6.7671
_cell_length_b 6.7671
_cell_length_c 6.7671
_cell_angle_alpha 90.00
_cell_angle_beta 90.00
_cell_angle_gamma 90.00
_space_group_name_H-M_alt 'F -4 3 m'
_space_group_IT_number 216
_space_group_name_Hall 'F -4 2 3'
loop_
_atom_site_label
_atom_site_type_symbol
_atom_site_fract_x
_atom_site_fract_y
_atom_site_fract_z
Fe1 Fe 0.1249 0.1249 0.1249
Mo1 Mo 0.2500 0.2500 0.7500
Au1 Au 0.0000 0.0000 0.5000
# Energy = -190.4 eV for the cell shown
# Calculated density = 11.07 g cm⁻³
# E_form = 5.9 kJ/mol of atoms

(7)
# LiPmTh | Alexandria | PBE | optimized geometry
data_LiPmTh
_chemical_formula_sum 'Li1 Pm1 Th1'
_cell_length_a 3.5126
_cell_length_b 3.5126
_cell_length_c 8.5133
_cell_angle_alpha 90.00
_cell_angle_beta 90.00
_cell_angle_gamma 120.00
_space_group_name_H-M_alt 'P 3 m 1'
_space_group_IT_number 156
loop_
_space_group_symop_operation_xyz
'x,y,z'
'-y,x-y,z'
'-x+y,-x,z'
'-y,-x,z'
'-x+y,y,z'
'x,x-y,z'
loop_
_atom_site_label
_atom_site_type_symbol
_atom_site_fract_x
_atom_site_fract_y
_atom_site_fract_z
Li1 Li 0.0000 0.0000 0.0000
Pm1 Pm 0.6667 0.3333 0.3320
Th1 Th 0.3333 0.6667 0.6726
# Energy = -13.7 eV for the cell shown
# Calculated density = 7.01 g cm⁻³
# E_form = 13.3 kJ/mol of atoms

(8)
# TbNdErMg | Alexandria | PBE | optimized geometry
data_TbNdErMg
_chemical_formula_sum 'Tb1 Nd1 Er1 Mg1'
_cell_length_a 3.6466
_cell_length_b 3.6466
_cell_length_c 9.1043
_cell_angle_alpha 90.00
_cell_angle_beta 90.00
_cell_angle_gamma 90.00
_space_group_name_H-M_alt 'P 4 m m'
_space_group_IT_number 99
loop_
_space_group_symop_operation_xyz
'x,y,z'
'-y,x,z'
'-x,-y,z'
'y,-x,z'
'-x,y,z'
'y,x,z'
'x,-y,z'
'-y,-x,z'
loop_
_atom_site_label
_atom_site_type_symbol
_atom_site_fract_x
_atom_site_fract_y
_atom_site_fract_z
Tb1 Tb 0.0000 0.0000 0.0000
Nd1 Nd 0.5000 0.5000 0.2752
Er1 Er 0.0000 0.0000 0.5469
Mg1 Mg 0.5000 0.5000 0.7704
# Energy = -15.7 eV for the cell shown
# Calculated density = 6.79 g cm⁻³
# E_form = -2.6 kJ/mol of atoms

(9)
# AgPRh2 | Alexandria | PBE | optimized geometry
data_AgPRh2
_chemical_formula_sum 'Ag1 P1 Rh2'
_cell_length_a 2.9718
_cell_length_b 2.9718
_cell_length_c 6.8941
_cell_angle_alpha 90.00
_cell_angle_beta 90.00
_cell_angle_gamma 90.00
_space_group_name_H-M_alt 'P 4 m m'
_space_group_IT_number 99
loop_
_space_group_symop_operation_xyz
'x,y,z'
'-y,x,z'
'-x,-y,z'
'y,-x,z'
'-x,y,z'
'y,x,z'
'x,-y,z'
'-y,-x,z'
loop_
_atom_site_label
_atom_site_type_symbol
_atom_site_fract_x
_atom_site_fract_y
_atom_site_fract_z
Ag1 Ag 0.0000 0.0000 0.0000
P1 P 0.5000 0.5000 0.2879
Rh1 Rh 0.0000 0.0000 0.4538
Rh2 Rh 0.5000 0.5000 0.7216
# Energy = -22.7 eV for the cell shown
# Calculated density = 9.40 g cm⁻³
# E_form = 5.6 kJ/mol of atoms

(10)
# RePPt4 | Alexandria | PBE | optimized geometry
data_RePPt4
_chemical_formula_sum 'Re4 P4 Pt16'
_cell_length_a 7.3887
_cell_length_b 7.3887
_cell_length_c 7.3887
_cell_angle_alpha 90.00
_cell_angle_beta 90.00
_cell_angle_gamma 90.00
_space_group_name_H-M_alt 'F -4 3 m'
_space_group_IT_number 216
_space_group_name_Hall 'F -4 2 3'
loop_
_atom_site_label
_atom_site_type_symbol
_atom_site_fract_x
_atom_site_fract_y
_atom_site_fract_z
Re1 Re 0.0000 0.0000 0.0000
P1 P 0.2500 0.2500 0.7500
Pt1 Pt 0.1254 0.1254 0.3746
# Energy = -150.7 eV for the cell shown
# Calculated density = 16.43 g cm⁻³
# E_form = 69.7 kJ/mol of atoms

(11)
# TaPbCl2 | Alexandria | PBE | optimized geometry
data_TaPbCl2
_chemical_formula_sum 'Ta3 Pb3 Cl6'
_cell_length_a 3.1919
_cell_length_b 3.1919
_cell_length_c 36.6138
_cell_angle_alpha 90.00
_cell_angle_beta 90.00
_cell_angle_gamma 120.00
_space_group_name_H-M_alt 'R -3 m'
_space_group_IT_number 166
_space_group_name_Hall '-R 3 2"'
loop_
_atom_site_label
_atom_site_type_symbol
_atom_site_fract_x
_atom_site_fract_y
_atom_site_fract_z
Ta1 Ta 0.0000 0.0000 0.0000
Pb1 Pb 0.0000 0.0000 0.5000
Cl1 Cl 0.0000 0.0000 0.2848
# Energy = -63.6 eV for the cell shown
# Calculated density = 7.08 g cm⁻³
# ΔE_f (raw) = -0.4881 eV/atom

(12)
# AgC3 | Alexandria | PBE | optimized geometry
data_AgC3
_chemical_formula_sum 'Ag1 C3'
_cell_length_a 2.5932
_cell_length_b 8.2416
_cell_length_c 3.4889
_cell_angle_alpha 90.00
_cell_angle_beta 90.00
_cell_angle_gamma 90.00
_space_group_name_H-M_alt 'P m m 2'
_space_group_IT_number 25
loop_
_space_group_symop_operation_xyz
'x,y,z'
'-x,-y,z'
'-x,y,z'
'x,-y,z'
loop_
_atom_site_label
_atom_site_type_symbol
_atom_site_fract_x
_atom_site_fract_y
_atom_site_fract_z
Ag1 Ag 0.0000 0.0000 0.0000
C1 C 0.0000 0.5000 0.5466
C2 C 0.5000 0.0000 0.5001
C3 C 0.5000 0.5000 0.5466
# Energy = -23.5 eV for the cell shown
# Calculated density = 3.20 g cm⁻³
# E_form = 170.2 kJ/mol of atoms